Entry 1:
## MnVMo2Se (PBE)

Data for a geometry-optimized MnVMo2Se structure.

abc: 4.532 4.532 4.604
angles: 90.00 90.00 90.00
Space group P4/mmm (No. 123)
Unique sites:
1 Mn 0.000 0.000 0.000 x1
2 V 0.000 0.000 0.500 x1
3 Mo 0.000 0.500 0.500 x2
4 Se 0.500 0.500 0.000 x1

Results
crystal system	tetragonal
energy relative to the elements, uncorrected	6.3	eV per formula unit

=====

Entry 2:
## BaCa3Pd (PBE)

Data for a geometry-optimized BaCa3Pd structure.

abc: 4.355 9.242 9.788
angles: 90.00 90.00 90.00
Space group Pmmn (No. 59, origin choice 2)
Unique sites:
1 Ba 0.250 0.250 0.054 x2
2 Ca 0.250 0.559 0.637 x4
3 Ca 0.250 0.750 0.301 x2
4 Pd 0.250 0.250 0.491 x2

Results
crystal system	orthorhombic

=====

Entry 3:
## Cu5HgPd6 (PBE)

Data for a geometry-optimized Cu5HgPd6 structure.

abc: 4.301 6.283 12.895
angles: 90.00 90.00 90.00
Space group Immm (No. 71)
Unique sites:
1 Cu 0.000 0.000 0.000 x2
2 Cu 0.000 0.000 0.337 x4
3 Cu 0.000 0.500 0.330 x4
4 Hg 0.000 0.500 0.000 x2
5 Pd 0.000 0.239 0.172 x8
6 Pd 0.000 0.271 0.500 x4

Results
crystal system	orthorhombic

=====

Entry 4:
## V2TcMo6 (PBE)

Data for a geometry-optimized V2TcMo6 structure.

abc: 4.511 5.356 6.513
angles: 98.87 110.17 90.02
Space group P-1 (No. 2)
Unique sites:
1 V 0.099 0.471 0.198 x2
2 Tc 0.000 0.000 0.000 x1
3 Mo 0.292 0.344 0.585 x2
4 Mo 0.301 0.853 0.602 x2
5 Mo 0.497 0.257 0.995 x2

Results
crystal system	triclinic

=====

Entry 5:
## Tm4Tl3Ag (PBE)

Data for a geometry-optimized Tm4Tl3Ag structure.

abc: 3.577 3.577 16.023
angles: 90.00 90.00 90.00
Space group P4/mmm (No. 123)
Unique sites:
1 Tm 0.000 0.000 0.112 x2
2 Tm 0.000 0.000 0.370 x2
3 Tl 0.500 0.500 0.240 x2
4 Tl 0.500 0.500 0.500 x1
5 Ag 0.500 0.500 0.000 x1

Results
crystal system	tetragonal

=====

Entry 6:
## Cr2Ir (PBE)

Data for a geometry-optimized Cr2Ir structure.

abc: 2.653 4.002 15.243
angles: 90.00 90.00 90.00
Space group Imma (No. 74)
Unique sites:
1 Cr 0.000 0.250 0.033 x4
2 Cr 0.000 0.250 0.191 x4
3 Ir 0.000 0.250 0.619 x4

Results
crystal system	orthorhombic

=====

| no. | VASP energy (eV per atom) | spin magnetization (μB/f.u.) |
| --- | --- | --- |
| 1 | -7.425 | 3.117 |
| 2 | -2.918 | 0.000 |
| 3 | -4.448 | 0.000 |
| 4 | -10.030 | 0.000 |
| 5 | -3.793 | 0.211 |
| 6 | -9.117 | 0.001 |